A plane-wave DFT calculation with PBE+U was carried out for a relaxed structure of UMn2CdO8.

Properties
As for the electronic total energy: -7.353 eV/atom. The crystal system is monoclinic. The space group is No. 10.

```
12
Lattice="4.845 0.000 0.000 0.000 6.254 0.000 -0.061 0.000 4.852" Properties=species:S:1:pos:R:3 pbc="T T T"
U 0.000 0.000 0.000
Mn 2.392 1.600 2.426
Mn 2.392 4.655 2.426
Cd 0.000 3.127 0.000
O 1.045 1.430 1.047
O 1.045 4.824 1.047
O 1.471 0.000 3.326
O 1.554 3.127 3.242
O 3.230 3.127 1.611
O 3.313 0.000 1.526
O 3.739 1.430 3.805
O 3.739 4.824 3.805
```